DFT (PBE+U) results for a relaxed RbMnN2F crystal.

Values from the calculation:
- E above lowest polymorph (kJ/mol of formula units) = 793

a b c (Å): 5.281 5.281 4.917
angles (deg): 90.00 90.00 90.00
Fractional coordinates of all 5 atoms:
1 Mn 0.500 0.500 0.500
2 N 0.000 0.500 0.000
3 N 0.500 0.000 0.000
4 F 0.000 0.000 0.500
5 Rb 0.000 0.000 0.000